Density functional theory data (PBE+U) for a relaxed MnBeZn2O4 crystal.

## Properties
M_tot ... 5.00 μB/f.u.
Crystal system ... tetragonal
Calculated total energy ... -47.71 eV per cell
Space-group type ... I-42m, No. 121

Unit cell a=5.357 b=5.357 c=5.357 alpha=129.73 beta=129.73 gamma=73.83
Fractional positions:
1 Mn 0.000 0.000 0.000
2 Be 0.500 0.500 0.000
3 Zn 0.250 0.750 0.500
4 Zn 0.750 0.250 0.500
5 O 0.174 0.174 0.576
6 O 0.402 0.826 0.000
7 O 0.598 0.598 0.424
8 O 0.826 0.402 0.000